Entry from Alexandria: a relaxed NaErCd5 crystal (GGA-PBE).

Calculated values
Magnetization   0.0 μB per formula unit
DFT total energy   -1.56 eV/atom
Energy relative to the elements   -0.06 eV/atom

Cell: 5.4591 5.4591 6.4809 Å, 90.00 90.00 109.38°
Atoms (fractional coordinates):
Na 0.5000 0.5000 0.5000
Cd 0.5000 0.0000 0.7575
Cd 0.0000 0.0000 0.5000
Cd 0.0000 0.5000 0.2425
Cd 0.5000 0.0000 0.2425
Er 0.0000 0.0000 0.0000
Cd 0.0000 0.5000 0.7575